(1)
Compound: CeTlIrO6
Source: Alexandria
Functional: PBE
Structure: relaxed

## Properties
The calculation puts the total moment at 2.0 μB per formula unit. As for the energy: -6.632 eV per atom.

a b c (Å): 7.3443 7.4522 10.0847
angles (deg): 90.00 90.00 90.00
Space group Imma (No. 74)
Symmetry-distinct sites (fractional):
Ce1 0.0000 0.0000 0.0000
Tl1 0.0000 0.2500 0.4277
Ir1 0.2500 0.2500 0.7500
O1 0.0000 0.2500 0.1020
O2 0.0000 0.2500 0.8276
O3 0.2106 0.0718 0.6201



(2)
Compound: CeYIrO6
Source: Alexandria
Functional: PBE
Structure: relaxed

## Properties
The calculation puts the total moment at 2.1 μB per formula unit. As for the energy: -7.971 eV per atom.

a b c (Å): 5.5113 5.5113 9.6543
angles (deg): 90.00 90.00 120.00
Space group P-31c (No. 163)
Symmetry-distinct sites (fractional):
Ce1 0.3333 0.6667 0.2500
Y1 0.0000 0.0000 0.0000
Ir1 0.3333 0.6667 0.7500
O1 0.0386 0.3640 0.6343



(3)
Compound: CeZn2IrO8
Source: Alexandria
Functional: PBE
Structure: relaxed

## Properties
The calculation puts the total moment at 0.0 μB per formula unit. As for the energy: -6.121 eV per atom.

a b c (Å): 4.7357 6.6051 4.7498
angles (deg): 90.00 91.84 90.00
Space group P2/m (No. 10)
Symmetry-distinct sites (fractional):
Ce1 0.0000 0.0000 0.0000
Zn1 0.5000 0.2542 0.5000
Ir1 0.0000 0.5000 0.0000
O1 0.1935 0.2886 0.8089
O2 0.2859 0.5000 0.2877
O3 0.3123 0.0000 0.3140



(4)
Compound: CeZnIrO6
Source: Alexandria
Functional: PBE
Structure: relaxed

## Properties
The calculation puts the total moment at 2.6 μB per formula unit. As for the energy: -6.692 eV per atom.

a b c (Å): 4.8824 4.8824 9.7588
angles (deg): 90.00 90.00 90.00
Space group P4_2nm (No. 102)
Symmetry-distinct sites (fractional):
Ce1 0.0000 0.0000 0.0000
Zn1 0.0000 0.0000 0.6670
Ir1 0.0000 0.0000 0.3315
O1 0.1802 0.1802 0.4870
O2 0.1948 0.1948 0.1857
O3 0.2193 0.2193 0.8274



(5)
Compound: Ce6Ir2Os
Source: Alexandria
Functional: PBE
Structure: relaxed

## Properties
The calculation puts the total moment at 0.6 μB per formula unit. The formation energy comes out at -424.8 meV per atom. As for the energy: -7.598 eV per atom.

a b c (Å): 10.2879 4.6958 8.7487
angles (deg): 90.00 101.06 90.00
Space group C2/m (No. 12)
Symmetry-distinct sites (fractional):
Ce1 0.0516 0.0000 0.3274
Ce2 0.1125 0.5000 0.6706
Ce3 0.1755 0.5000 0.0702
Ir1 0.2282 0.5000 0.3814
Os1 0.0000 0.0000 0.0000



(6)
Compound: Ce2IrOs
Source: Alexandria
Functional: PBE
Structure: relaxed

## Properties
The calculation puts the total moment at 0.3 μB per formula unit. The distance to the lowest polymorph of the same formula is 0.00 kcal/mol of atoms. The formation energy comes out at -363.7 meV per atom. As for the energy: -8.353 eV per atom.

a b c (Å): 3.4191 3.4191 7.1827
angles (deg): 90.00 90.00 90.00
Space group P4/mmm (No. 123)
Symmetry-distinct sites (fractional):
Ce1 0.0000 0.0000 0.2498
Ir1 0.5000 0.5000 0.0000
Os1 0.5000 0.5000 0.5000



(7)
Compound: Ce4IrOs2
Source: Alexandria
Functional: PBE
Structure: relaxed

## Properties
The calculation puts the total moment at 0.0 μB per formula unit. The formation energy comes out at -338.9 meV per atom. As for the energy: -8.204 eV per atom.

a b c (Å): 12.2116 8.6721 8.6015
angles (deg): 90.00 134.76 90.00
Space group C2 (No. 5)
Symmetry-distinct sites (fractional):
Ce1 0.0611 0.0000 0.2542
Ce2 0.0606 0.3808 0.3673
Ce3 0.1905 0.6297 0.1340
Ce4 0.1903 0.7511 0.7474
Ir1 0.2503 0.4405 0.8754
Os1 0.0000 0.0701 0.5000
Os2 0.0000 0.3099 0.0000
Os3 0.1197 0.6903 0.3698



(8)
Compound: Ce7IrOs5
Source: Alexandria
Functional: PBE
Structure: relaxed

## Properties
The calculation puts the total moment at 0.0 μB per formula unit. The formation energy comes out at -105.9 meV per atom. As for the energy: -8.302 eV per atom.

a b c (Å): 5.9449 10.0232 9.6556
angles (deg): 90.00 90.00 90.00
Space group Imm2 (No. 44)
Symmetry-distinct sites (fractional):
Ce1 0.0000 0.0000 0.0000
Ce2 0.0000 0.0000 0.4129
Ce3 0.0000 0.2975 0.6430
Ce4 0.0000 0.3417 0.1055
Ce5 0.0000 0.5000 0.3496
Ir1 0.0000 0.0000 0.7114
Os1 0.0000 0.5000 0.8645
Os2 0.2451 0.2378 0.8870



(9)
Compound: Ce4IrOs
Source: Alexandria
Functional: PBE
Structure: relaxed

## Properties
The calculation puts the total moment at 1.8 μB per formula unit. The distance to the lowest polymorph of the same formula is 0.90 kcal/mol of atoms. The formation energy comes out at -329.1 meV per atom. As for the energy: -7.633 eV per atom.

a b c (Å): 6.6736 6.9984 7.2190
angles (deg): 98.52 104.89 108.63
Space group P-1 (No. 2)
Symmetry-distinct sites (fractional):
Ce1 0.0162 0.4661 0.2590
Ce2 0.2284 0.0355 0.4864
Ce3 0.2639 0.9647 0.0081
Ce4 0.4808 0.5360 0.2370
Ir1 0.3763 0.7516 0.6251
Os1 0.1263 0.2515 0.8753